Li2TiCrIr | PBE | optimized geometry

The energy of formation from the pure elements is 3.81 eV/f.u. As for the total magnetization: 1.40 μB per cell. The density of states at the Fermi level comes out at 3.38 states/eV/f.u. The value obtained for the total energy is -5.2799 eV/atom.

The structure belongs to space group P4/mmm (No. 123); the cell edges are 4.298, 4.298 and 4.544 Å and the angles 90.00°, 90.00° and 90.00°. Symmetry generates all atoms from Li at (0.000, 0.500, 0.000), Ti at (0.000, 0.000, 0.500), Cr at (0.500, 0.500, 0.000) and Ir at (0.500, 0.500, 0.500).


Th6MgIn | PBE | optimized geometry

The energy of formation from the pure elements is -0.07 eV/f.u. As for the total magnetization: 0.00 μB per cell. The density of states at the Fermi level comes out at 12.99 states/eV/f.u. The value obtained for the total energy is -6.1148 eV/atom.

The structure belongs to space group I4/mmm (No. 139); the cell edges are 5.004, 5.004 and 19.599 Å and the angles 90.00°, 90.00° and 90.00°. Symmetry generates all atoms from Th at (0.000, 0.000, 0.250), Th at (0.000, 0.500, 0.119), Mg at (0.000, 0.000, 0.000) and In at (0.000, 0.000, 0.500).


SmErMg2Au4 | PBE | optimized geometry

The energy of formation from the pure elements is -6.15 eV/f.u. As for the total magnetization: 0.00 μB per cell. The density of states at the Fermi level comes out at 5.19 states/eV/f.u. The value obtained for the total energy is -3.9666 eV/atom.

The structure belongs to space group R-3m (No. 166, hexagonal axes); the cell edges are 4.9287, 4.9287 and 24.1316 Å and the angles 90.00°, 90.00° and 120.00°. Symmetry generates all atoms from Sm at (0.0000, 0.0000, 0.0000), Er at (0.0000, 0.0000, 0.5000), Mg at (0.0000, 0.0000, 0.2493), Au at (0.0000, 0.0000, 0.1282) and Au at (0.0000, 0.0000, 0.3783).


Er4Tm3In2 | PBE | optimized geometry

The energy of formation from the pure elements is -1.73 eV/f.u. As for the total magnetization: 0.00 μB per cell. The density of states at the Fermi level comes out at 9.84 states/eV/f.u. The value obtained for the total energy is -4.3197 eV/atom.

The structure belongs to space group C2/m (No. 12); the cell edges are 12.433, 5.208 and 8.265 Å and the angles 90.00°, 105.09° and 90.00°. Symmetry generates all atoms from Er at (0.121, 0.000, 0.158), Er at (0.168, 0.500, 0.468), Tm at (0.000, 0.000, 0.500), Tm at (0.075, 0.500, 0.846) and In at (0.212, 0.000, 0.816).


CeCdRh | PBE | optimized geometry

The energy of formation from the pure elements is -1.17 eV/f.u. As for the total magnetization: 3.24 μB per cell. The density of states at the Fermi level comes out at 6.68 states/eV/f.u. The value obtained for the total energy is -5.1238 eV/atom.

The structure belongs to space group F-43m (No. 216); the cell edges are 6.670, 6.670 and 6.670 Å and the angles 90.00°, 90.00° and 90.00°. Symmetry generates all atoms from Ce at (0.000, 0.000, 0.000), Cd at (0.000, 0.000, 0.500) and Rh at (0.250, 0.250, 0.250).


CoHgAu | PBE | optimized geometry

The value obtained for the energy above the lowest structure with this stoichiometry is 0.0000 eV per atom. The energy of formation from the pure elements is 0.96 eV/f.u. As for the total magnetization: 3.11 μB per cell. The density of states at the Fermi level comes out at 3.93 states/eV/f.u. The value obtained for the total energy is -3.2430 eV/atom.

The structure belongs to space group I4mm (No. 107); the cell edges are 2.952, 2.952 and 11.673 Å and the angles 90.00°, 90.00° and 90.00°. Symmetry generates all atoms from Co at (0.000, 0.000, 0.000), Hg at (0.000, 0.000, 0.341) and Au at (0.000, 0.000, 0.644).


What is the total magnetization in the second record?
0.00 μB per cell


Among the records above, which one has the highest energy of formation from the pure elements?
Li2TiCrIr


What is the total magnetization in the third record?
0.00 μB per cell